Entry from Alexandria via LeMat-Bulk: a geometry-optimized MnGaCl6 structure (PBE-GGA).

Summary:
Calculated total energy   -3.8386 eV per atom
E above lowest polymorph   0 meV per atom

Cell lengths 6.780, 6.780, 6.192 Å; angles 99.07, 99.07, 125.75 degrees
Fractional positions:
Mn (0.000, 0.000, 0.000)
Ga (0.500, 0.500, 0.500)
Cl (0.092, 0.359, 0.227)
Cl (0.280, 0.280, 0.721)
Cl (0.359, 0.092, 0.227)
Cl (0.641, 0.908, 0.773)
Cl (0.720, 0.720, 0.279)
Cl (0.908, 0.641, 0.773)



Entry from Alexandria via LeMat-Bulk: a geometry-optimized La3SmEr4 structure (PBE-GGA).

Summary:
Calculated total energy   -4.5771 eV per atom
E_form   0.14 eV per atom
E above lowest polymorph   108 meV per atom

Cell lengths 9.015, 9.015, 9.015 Å; angles 157.73, 98.29, 86.01 degrees
Fractional positions:
La (0.000, 0.000, 0.000)
La (0.257, 0.757, 0.500)
La (0.743, 0.243, 0.500)
Sm (0.500, 0.500, 0.000)
Er (0.119, 0.365, 0.753)
Er (0.388, 0.635, 0.753)
Er (0.612, 0.365, 0.247)
Er (0.881, 0.635, 0.247)



Which of these has the lowest E above lowest polymorph?
MnGaCl6



What is the calculated total energy in the second record?
-4.5771 eV per atom



Repeat the first record exactly.
Entry from Alexandria via LeMat-Bulk: a geometry-optimized MnGaCl6 structure (PBE-GGA).

Summary:
Calculated total energy   -3.8386 eV per atom
E above lowest polymorph   0 meV per atom

Cell lengths 6.780, 6.780, 6.192 Å; angles 99.07, 99.07, 125.75 degrees
Fractional positions:
Mn (0.000, 0.000, 0.000)
Ga (0.500, 0.500, 0.500)
Cl (0.092, 0.359, 0.227)
Cl (0.280, 0.280, 0.721)
Cl (0.359, 0.092, 0.227)
Cl (0.641, 0.908, 0.773)
Cl (0.720, 0.720, 0.279)
Cl (0.908, 0.641, 0.773)



Repeat the first record exactly.
Entry from Alexandria via LeMat-Bulk: a geometry-optimized MnGaCl6 structure (PBE-GGA).

Summary:
Calculated total energy   -3.8386 eV per atom
E above lowest polymorph   0 meV per atom

Cell lengths 6.780, 6.780, 6.192 Å; angles 99.07, 99.07, 125.75 degrees
Fractional positions:
Mn (0.000, 0.000, 0.000)
Ga (0.500, 0.500, 0.500)
Cl (0.092, 0.359, 0.227)
Cl (0.280, 0.280, 0.721)
Cl (0.359, 0.092, 0.227)
Cl (0.641, 0.908, 0.773)
Cl (0.720, 0.720, 0.279)
Cl (0.908, 0.641, 0.773)